Entry 1:
HoCuRh4: relaxed, PBE.

Computed properties:
Formation energy from the elements: -0.261 eV per atom

Lattice parameters (Å, degrees): 5.204 5.204 5.204 60.00 60.00 60.00
Fractional coordinates of all 6 atoms:
Rh 0.625 0.625 0.625
Ho 0.250 0.250 0.250
Rh 0.124 0.625 0.625
Rh 0.625 0.124 0.625
Cu 0.000 0.000 0.000
Rh 0.625 0.625 0.124

---

Entry 2:
CrFe2Pb: relaxed, PBE.

Computed properties:
Formation energy from the elements: 0.556 eV per atom

Lattice parameters (Å, degrees): 4.592 4.592 4.592 126.51 126.51 79.05
Fractional coordinates of all 4 atoms:
Fe 0.000 0.000 0.000
Cr 0.750 0.250 0.500
Pb 0.500 0.500 0.000
Fe 0.250 0.750 0.500

---

Entry 3:
BaGaH: relaxed, PBE.

Computed properties:
ΔE to the lowest computed polymorph: 85 meV/atom

Lattice parameters (Å, degrees): 5.239 4.689 6.388 90.00 111.77 90.00
Fractional coordinates of all 6 atoms:
H 0.921 0.250 0.795
Ba 0.649 0.750 0.786
H 0.079 0.750 0.205
Ga 0.897 0.750 0.383
Ga 0.103 0.250 0.617
Ba 0.351 0.250 0.214

---

Entry 4:
MgTlFeIr2: relaxed, PBE.

Computed properties:
Formation energy from the elements: 1.891 eV per atom

Lattice parameters (Å, degrees): 4.987 4.871 4.987 90.00 90.00 90.00
Fractional coordinates of all 5 atoms:
Tl 0.000 0.000 0.000
Ir 0.500 0.000 0.000
Mg 0.000 0.500 0.000
Ir 0.000 0.000 0.500
Fe 0.500 0.500 0.500

---

Entry 5:
Ce4NiSn8: relaxed, PBE.

Computed properties:
Formation energy from the elements: -0.559 eV per atom

Lattice parameters (Å, degrees): 4.465 4.538 16.887 90.00 90.00 90.00
Fractional coordinates of all 13 atoms:
Sn 0.000 0.000 0.752
Sn 0.500 0.000 0.236
Ni 0.000 0.000 0.308
Sn 0.000 0.500 0.237
Ce 0.500 0.500 0.396
Sn 0.500 0.500 0.058
Sn 0.000 0.000 0.456
Sn 0.500 0.000 0.572
Ce 0.000 0.000 0.097
Sn 0.000 0.500 0.934
Ce 0.500 0.000 0.900
Sn 0.500 0.500 0.754
Ce 0.000 0.500 0.605

---

Entry 6:
SrNi6Sn6: relaxed, PBE.

Computed properties:
Formation energy from the elements: -0.242 eV per atom

Lattice parameters (Å, degrees): 5.472 7.010 7.010 77.50 67.03 67.03
Fractional coordinates of all 13 atoms:
Sn 0.000 0.339 0.661
Sn 0.673 0.827 0.827
Ni 0.000 0.500 0.000
Ni 0.500 0.250 0.750
Sn 0.327 0.173 0.173
Sn 0.661 0.339 0.339
Sn 0.000 0.661 0.339
Sr 0.000 0.000 0.000
Ni 0.500 0.750 0.250
Ni 0.500 0.500 0.000
Ni 0.500 0.000 0.500
Sn 0.339 0.661 0.661
Ni 0.000 0.000 0.500

---

Entry 7:
Ba2LiCa: relaxed, PBE.

Computed properties:
ΔE to the lowest computed polymorph: 94 meV/atom
Formation energy from the elements: 0.125 eV per atom

Lattice parameters (Å, degrees): 12.870 12.870 12.870 18.80 18.80 18.80
Fractional coordinates of all 4 atoms:
Li 0.755 0.755 0.755
Ba 0.012 0.012 0.012
Ca 0.488 0.488 0.488
Ba 0.245 0.245 0.245

---

Entry 8:
Cs3Tb2SmSe6: relaxed, PBE.

Computed properties:
Raw formation energy: -1.73 eV per atom

Lattice parameters (Å, degrees): 7.460 7.460 8.747 98.17 98.17 120.00
Fractional coordinates of all 12 atoms:
Tb 0.333 0.667 0.000
Se 0.062 0.400 0.187
Se 0.938 0.600 0.813
Se 0.275 0.275 0.813
Tb 0.667 0.333 0.000
Se 0.725 0.725 0.187
Se 0.600 0.938 0.813
Cs 0.500 0.500 0.500
Cs 0.834 0.166 0.500
Sm 0.000 0.000 0.000
Se 0.400 0.062 0.187
Cs 0.166 0.834 0.500

---

Entry 9:
Nd2Cu3As4Rh: relaxed, PBE.

Computed properties:
Formation energy from the elements: -0.648 eV per atom

Lattice parameters (Å, degrees): 4.302 4.302 9.909 90.00 90.00 90.00
Fractional coordinates of all 10 atoms:
Cu 0.000 0.500 0.127
Nd 0.500 0.000 0.255
As 0.000 0.500 0.368
Nd 0.000 0.500 0.745
Cu 0.500 0.000 0.873
As 0.500 0.500 0.000
Rh 0.500 0.500 0.500
As 0.000 0.000 0.000
As 0.500 0.000 0.632
Cu 0.000 0.000 0.500

---

Entry 10:
CaMn2Rh: relaxed, PBE.

Computed properties:
Formation energy from the elements: 0.794 eV per atom

Lattice parameters (Å, degrees): 4.365 4.365 4.365 60.00 60.00 60.00
Fractional coordinates of all 4 atoms:
Mn 0.250 0.250 0.250
Mn 0.750 0.750 0.750
Rh 0.500 0.500 0.500
Ca 0.000 0.000 0.000

---

Entry 11:
Mg2TaNbN4: relaxed, PBE.

Computed properties:
Raw formation energy: -1.04 eV per atom

Lattice parameters (Å, degrees): 3.069 5.314 5.509 108.80 90.00 90.00
Fractional coordinates of all 8 atoms:
N 0.500 0.746 0.754
N 0.000 0.257 0.757
N 0.000 0.743 0.243
Mg 0.500 0.000 0.500
Nb 0.000 0.000 0.000
Ta 0.500 0.500 0.000
N 0.500 0.254 0.246
Mg 0.000 0.500 0.500

---

Entry 12:
Li3Ni: relaxed, PBE.

Computed properties:
Formation energy from the elements: 0.063 eV per atom

Lattice parameters (Å, degrees): 4.189 2.560 5.252 77.43 90.00 90.00
Fractional coordinates of all 4 atoms:
Li 0.000 0.529 0.474
Ni 0.500 0.250 0.250
Li 0.000 0.971 0.026
Li 0.500 0.750 0.750